1.
DFT (PBE-GGA) results for a relaxed structure of AcNd7Ho2.

Computed properties:
Energy of formation ... 59 kJ per mole of atoms
Calculated volume ... 42.82 A^3/atom
Distance to the lowest polymorph of the same formula ... 401 meV per atom

Lattice parameters (Å, degrees): 9.036 16.109 5.883 90.00 90.00 90.00
Space group Cmmm (No. 65)
Asymmetric unit:
Ac: 0.000 0.000 0.000
Nd: 0.000 0.238 0.000
Nd: 0.000 0.500 0.500
Nd: 0.180 0.119 0.500
Ho: 0.000 0.297 0.500

2.
DFT (PBE-GGA) results for a relaxed structure of AcNd6Ho2.

Computed properties:
Energy of formation ... 5 kJ per mole of atoms
Calculated volume ... 35.03 A^3/atom
Distance to the lowest polymorph of the same formula ... 0 meV per atom

Lattice parameters (Å, degrees): 5.822 10.047 10.778 90.00 90.00 90.00
Space group Cmmm (No. 65)
Asymmetric unit:
Ac: 0.000 0.000 0.000
Nd: 0.000 0.000 0.341
Nd: 0.000 0.333 0.176
Ho: 0.000 0.333 0.500

3.
DFT (PBE-GGA) results for a relaxed structure of AcNdHo2.

Computed properties:
Energy of formation ... 4 kJ per mole of atoms
Calculated volume ... 35.05 A^3/atom
Distance to the lowest polymorph of the same formula ... 0 meV per atom

Lattice parameters (Å, degrees): 3.7107 3.7107 35.2674 90.00 90.00 120.00
Space group R-3m (No. 166, hexagonal axes)
Asymmetric unit:
Ac: 0.0000 0.0000 0.0000
Nd: 0.0000 0.0000 0.5000
Ho: 0.0000 0.0000 0.2480

4.
DFT (PBE-GGA) results for a relaxed structure of Ac6Nd3Ho.

Computed properties:
Energy of formation ... 21 kJ per mole of atoms
Calculated volume ... 41.39 A^3/atom

Lattice parameters (Å, degrees): 12.154 7.455 9.463 90.00 105.08 90.00
Space group C2/m (No. 12)
Asymmetric unit:
Ac: 0.129 0.000 0.408
Ac: 0.169 0.255 0.798
Nd: 0.000 0.500 0.500
Nd: 0.085 0.500 0.161
Ho: 0.000 0.000 0.000

5.
DFT (PBE-GGA) results for a relaxed structure of Ac3NdHo.

Computed properties:
Energy of formation ... 21 kJ per mole of atoms
Calculated volume ... 41.50 A^3/atom

Lattice parameters (Å, degrees): 12.024 7.641 9.252 90.00 102.48 90.00
Space group C2/m (No. 12)
Asymmetric unit:
Ac: 0.152 0.234 0.147
Ac: 0.164 0.500 0.498
Nd: 0.083 0.000 0.714
Ho: 0.082 0.500 0.832

6.
DFT (PBE-GGA) results for a relaxed structure of AcNd3Ho.

Computed properties:
Energy of formation ... 36 kJ per mole of atoms
Calculated volume ... 40.08 A^3/atom
Distance to the lowest polymorph of the same formula ... 327 meV per atom

Lattice parameters (Å, degrees): 6.3232 6.3232 34.7262 90.00 90.00 120.00
Space group R-3 (No. 148, hexagonal axes)
Asymmetric unit:
Ac: 0.0000 0.0000 0.1663
Nd: 0.0032 0.6734 0.0790
Ho: 0.0000 0.0000 0.3339

7.
DFT (PBE-GGA) results for a relaxed structure of AcNd5Ho5.

Computed properties:
Energy of formation ... 27 kJ per mole of atoms
Calculated volume ... 35.84 A^3/atom

Lattice parameters (Å, degrees): 6.2046 6.2046 11.8244 90.00 90.00 120.00
Space group P-6m2 (No. 187)
Asymmetric unit:
Ac: 0.0000 0.0000 0.0000
Nd: 0.0000 0.0000 0.3280
Nd: 0.3333 0.6667 0.1590
Nd: 0.6667 0.3333 0.0000
Ho: 0.5008 0.0016 0.5000
Ho: 0.6667 0.3333 0.2660

8.
DFT (PBE-GGA) results for a relaxed structure of Ac6NdHo2.

Computed properties:
Energy of formation ... 16 kJ per mole of atoms
Calculated volume ... 41.98 A^3/atom

Lattice parameters (Å, degrees): 16.043 9.479 10.092 90.00 100.01 90.00
Space group C2/c (No. 15)
Asymmetric unit:
Ac: 0.101 0.197 0.127
Ac: 0.120 0.435 0.832
Ac: 0.136 0.220 0.518
Nd: 0.000 0.101 0.750
Ho: 0.218 0.078 0.852

9.
DFT (PBE-GGA) results for a relaxed structure of Ac2NdHo.

Computed properties:
Energy of formation ... 24 kJ per mole of atoms
Calculated volume ... 39.61 A^3/atom
Distance to the lowest polymorph of the same formula ... 206 meV per atom

Lattice parameters (Å, degrees): 3.7273 3.7273 39.5106 90.00 90.00 120.00
Space group R-3m (No. 166, hexagonal axes)
Asymmetric unit:
Ac: 0.0000 0.0000 0.0876
Nd: 0.0000 0.0000 0.5000
Ho: 0.0000 0.0000 0.0000

10.
DFT (PBE-GGA) results for a relaxed structure of AcNd4Ho7.

Computed properties:
Energy of formation ... 28 kJ per mole of atoms
Calculated volume ... 35.00 A^3/atom
Distance to the lowest polymorph of the same formula ... 268 meV per atom

Lattice parameters (Å, degrees): 12.356 6.081 12.771 90.00 118.92 90.00
Space group C2/m (No. 12)
Asymmetric unit:
Ac: 0.000 0.000 0.000
Nd: 0.131 0.500 0.776
Nd: 0.244 0.000 0.676
Ho: 0.000 0.500 0.000
Ho: 0.058 0.000 0.334
Ho: 0.134 0.500 0.502
Ho: 0.217 0.000 0.921

11.
DFT (PBE-GGA) results for a relaxed structure of Ac6Nd3Ho2.

Computed properties:
Energy of formation ... 5 kJ per mole of atoms
Calculated volume ... 39.59 A^3/atom

Lattice parameters (Å, degrees): 6.622 8.542 8.554 107.20 97.44 104.90
Space group P-1 (No. 2)
Asymmetric unit:
Ac: 0.054 0.181 0.403
Ac: 0.136 0.549 0.231
Ac: 0.322 0.265 0.870
Nd: 0.407 0.644 0.686
Nd: 0.500 0.000 0.500
Ho: 0.232 0.914 0.046

12.
DFT (PBE-GGA) results for a relaxed structure of AcNdHo.

Computed properties:
Energy of formation ... 5 kJ per mole of atoms
Calculated volume ... 36.89 A^3/atom
Distance to the lowest polymorph of the same formula ... 0 meV per atom

Lattice parameters (Å, degrees): 3.771 3.771 15.562 90.00 90.00 90.00
Space group I4mm (No. 107)
Asymmetric unit:
Ac: 0.000 0.000 0.000
Nd: 0.000 0.000 0.325
Ho: 0.000 0.000 0.670

13.
DFT (PBE-GGA) results for a relaxed structure of Ac7NdHo2.

Computed properties:
Energy of formation ... 60 kJ per mole of atoms
Calculated volume ... 51.22 A^3/atom

Lattice parameters (Å, degrees): 10.169 16.423 6.133 90.00 90.00 90.00
Space group Cmmm (No. 65)
Asymmetric unit:
Ac: 0.000 0.000 0.000
Ac: 0.000 0.257 0.500
Ac: 0.185 0.375 0.000
Nd: 0.000 0.500 0.500
Ho: 0.000 0.201 0.000

14.
DFT (PBE-GGA) results for a relaxed structure of AcNd4Ho7.

Computed properties:
Energy of formation ... 2 kJ per mole of atoms
Calculated volume ... 33.57 A^3/atom
Distance to the lowest polymorph of the same formula ... 0 meV per atom

Lattice parameters (Å, degrees): 6.320 7.288 8.995 90.06 103.54 90.06
Space group P-1 (No. 2)
Asymmetric unit:
Ac: 0.000 0.000 0.000
Nd: 0.222 0.499 0.668
Nd: 0.281 0.749 0.337
Ho: 0.000 0.500 0.000
Ho: 0.224 0.999 0.664
Ho: 0.279 0.251 0.335
Ho: 0.500 0.252 0.001

15.
DFT (PBE-GGA) results for a relaxed structure of AcNdHo2.

Computed properties:
Energy of formation ... 5 kJ per mole of atoms
Calculated volume ... 35.10 A^3/atom
Distance to the lowest polymorph of the same formula ... 3 meV per atom

Lattice parameters (Å, degrees): 5.260 5.260 5.074 90.00 90.00 90.00
Space group P4/mmm (No. 123)
Asymmetric unit:
Ac: 0.000 0.000 0.000
Nd: 0.500 0.500 0.000
Ho: 0.000 0.500 0.500

16.
DFT (PBE-GGA) results for a relaxed structure of AcNd9Ho2.

Computed properties:
Energy of formation ... 2 kJ per mole of atoms
Calculated volume ... 35.23 A^3/atom

Lattice parameters (Å, degrees): 5.201 5.201 15.629 90.00 90.00 90.00
Space group P4/mmm (No. 123)
Asymmetric unit:
Ac: 0.000 0.000 0.000
Nd: 0.000 0.500 0.174
Nd: 0.000 0.500 0.500
Nd: 0.500 0.500 0.000
Nd: 0.500 0.500 0.338
Ho: 0.000 0.000 0.337

17.
DFT (PBE-GGA) results for a relaxed structure of Ac4Nd2Ho.

Computed properties:
Energy of formation ... 24 kJ per mole of atoms
Calculated volume ... 41.57 A^3/atom

Lattice parameters (Å, degrees): 8.919 20.721 12.596 90.00 90.00 90.00
Space group Fdd2 (No. 43)
Asymmetric unit:
Ac: 0.120 0.161 0.000
Ac: 0.125 0.171 0.516
Nd: 0.086 0.232 0.255
Ho: 0.000 0.000 0.514

18.
DFT (PBE-GGA) results for a relaxed structure of Ac8Nd5Ho.

Computed properties:
Energy of formation ... 24 kJ per mole of atoms
Calculated volume ... 41.60 A^3/atom

Lattice parameters (Å, degrees): 10.367 10.367 10.837 90.00 90.00 90.00
Space group I-4 (No. 82)
Asymmetric unit:
Ac: 0.067 0.328 0.409
Ac: 0.087 0.186 0.747
Nd: 0.000 0.000 0.500
Nd: 0.099 0.200 0.075
Ho: 0.000 0.500 0.750

19.
DFT (PBE-GGA) results for a relaxed structure of Ac2Nd7Ho2.

Computed properties:
Energy of formation ... 15 kJ per mole of atoms
Calculated volume ... 36.66 A^3/atom
Distance to the lowest polymorph of the same formula ... 0 meV per atom

Lattice parameters (Å, degrees): 11.759 11.921 6.188 90.00 111.58 90.00
Space group C2/m (No. 12)
Asymmetric unit:
Ac: 0.222 0.000 0.111
Nd: 0.000 0.000 0.500
Nd: 0.074 0.500 0.297
Nd: 0.181 0.225 0.675
Ho: 0.000 0.231 0.000

20.
DFT (PBE-GGA) results for a relaxed structure of Ac8Nd3Ho2.

Computed properties:
Energy of formation ... 22 kJ per mole of atoms
Calculated volume ... 42.98 A^3/atom

Lattice parameters (Å, degrees): 15.752 9.912 7.258 90.00 99.58 90.00
Space group C2/m (No. 12)
Asymmetric unit:
Ac: 0.088 0.000 0.372
Ac: 0.120 0.186 0.928
Ac: 0.198 0.500 0.317
Nd: 0.000 0.339 0.500
Nd: 0.000 0.500 0.000
Ho: 0.193 0.500 0.799

21.
DFT (PBE-GGA) results for a relaxed structure of Ac3Nd3Ho2.

Computed properties:
Energy of formation ... 11 kJ per mole of atoms
Calculated volume ... 37.53 A^3/atom

Lattice parameters (Å, degrees): 6.159 6.175 7.893 90.00 90.00 90.00
Space group Pmmm (No. 47)
Asymmetric unit:
Ac: 0.000 0.000 0.000
Ac: 0.000 0.000 0.500
Ac: 0.500 0.500 0.000
Nd: 0.500 0.000 0.259
Nd: 0.500 0.500 0.500
Ho: 0.000 0.500 0.259

22.
DFT (PBE-GGA) results for a relaxed structure of AcNdHo.

Computed properties:
Energy of formation ... 5 kJ per mole of atoms
Calculated volume ... 36.75 A^3/atom
Distance to the lowest polymorph of the same formula ... 5 meV per atom

Lattice parameters (Å, degrees): 6.565 12.131 6.301 90.00 118.51 90.00
Space group P2_1/c (No. 14)
Asymmetric unit:
Ac: 0.170 0.132 0.157
Nd: 0.188 0.615 0.010
Ho: 0.483 0.616 0.658